[1]
Entry from Alexandria via LeMat-Bulk: an optimized crystal structure of Hf4SiPd (PBE).

Properties
- Uncorrected formation energy: -0.57 eV/atom
- Raw total energy: -107.72 eV/cell
- Calculated volume: 231.5 Å³/cell

Lattice parameters (Å, degrees): 6.5890 6.5890 5.3320 90.00 90.00 90.00
With the nearest neighbours (Å) after each atom.
Fractional coordinates of all 12 atoms:
Hf  0.1540  0.3381  0.0000  2 Si 2.79, 2 Pd 2.85, 1 Hf 2.94
Hf  0.1540  0.6619  0.5000  2 Si 2.79, 2 Pd 2.85, 1 Hf 2.94
Hf  0.3381  0.1540  0.5000  2 Si 2.79, 2 Pd 2.85, 1 Hf 2.94
Hf  0.3381  0.8460  0.0000  2 Si 2.79, 2 Pd 2.85, 1 Hf 2.94
Hf  0.6619  0.1540  0.0000  2 Si 2.79, 2 Pd 2.85, 1 Hf 2.94
Hf  0.6619  0.8460  0.5000  2 Si 2.79, 2 Pd 2.85, 1 Hf 2.94
Hf  0.8460  0.3381  0.5000  2 Si 2.79, 2 Pd 2.85, 1 Hf 2.94
Hf  0.8460  0.6619  0.0000  2 Si 2.79, 2 Pd 2.85, 1 Hf 2.94
Si  0.0000  0.0000  0.2500  2 Si 2.67, 8 Hf 2.79
Si  0.0000  0.0000  0.7500  2 Si 2.67, 8 Hf 2.79
Pd  0.5000  0.5000  0.2500  2 Pd 2.67, 8 Hf 2.85
Pd  0.5000  0.5000  0.7500  2 Pd 2.67, 8 Hf 2.85



[2]
Entry from Alexandria via LeMat-Bulk: an optimized crystal structure of HfSiPd3 (PBE).

Properties
- Uncorrected formation energy: 0.80 eV/atom
- Raw total energy: -26.97 eV/cell
- E above lowest polymorph: 4.820 eV/f.u.
- Calculated volume: 115.8 Å³/cell

Lattice parameters (Å, degrees): 4.8736 4.8736 4.8736 90.00 90.00 90.00
With the nearest neighbours (Å) after each atom.
Fractional coordinates of all 5 atoms:
Hf  0.0000  0.0000  0.0000  6 Pd 2.44
Si  0.5000  0.5000  0.5000  12 Pd 3.45
Pd  0.0000  0.0000  0.5000  2 Hf 2.44
Pd  0.0000  0.5000  0.0000  2 Hf 2.44
Pd  0.5000  0.0000  0.0000  2 Hf 2.44



[3]
Entry from Alexandria via LeMat-Bulk: an optimized crystal structure of HfSiPd5 (PBE).

Properties
- Uncorrected formation energy: -0.81 eV/atom
- Raw total energy: -47.00 eV/cell
- Calculated volume: 111.4 Å³/cell

Lattice parameters (Å, degrees): 4.0152 4.0152 6.9121 90.00 90.00 90.00
With the nearest neighbours (Å) after each atom.
Fractional coordinates of all 7 atoms:
Hf  0.0000  0.0000  0.0000  12 Pd 2.84
Si  0.5000  0.5000  0.5000  8 Pd 2.48
Pd  0.0000  0.5000  0.2901  2 Si 2.48
Pd  0.0000  0.5000  0.7099  2 Si 2.48
Pd  0.5000  0.0000  0.2901  2 Si 2.48
Pd  0.5000  0.0000  0.7099  2 Si 2.48
Pd  0.5000  0.5000  0.0000  8 Pd 2.84, 4 Hf 2.84



[4]
Entry from Alexandria via LeMat-Bulk: an optimized crystal structure of HfTiSi2Pd (PBE).

Properties
- Uncorrected formation energy: 0.42 eV/atom
- Raw total energy: -31.79 eV/cell
- Calculated volume: 97.5 Å³/cell

Lattice parameters (Å, degrees): 4.6044 4.6044 4.5969 90.00 90.00 90.00
With the nearest neighbours (Å) after each atom.
Fractional coordinates of all 5 atoms:
Hf  0.0000  0.0000  0.0000  8 Si 3.25, 4 Pd 3.26
Ti  0.5000  0.5000  0.5000  2 Pd 2.30, 4 Si 2.30
Si  0.0000  0.5000  0.5000  2 Ti 2.30
Si  0.5000  0.0000  0.5000  2 Ti 2.30
Pd  0.5000  0.5000  0.0000  2 Ti 2.30